Material: MnClF2
Method: DFT, PBE with a Hubbard U
State: relaxed

Unit cell a=3.439 b=5.791 c=8.597 alpha=101.30 beta=74.05 gamma=89.85
Positions (direct):
F1 0.859 0.637 0.433
F2 0.358 0.148 0.436
F3 0.698 0.037 0.667
F4 0.197 0.549 0.670
Mn1 0.283 0.840 0.544
Mn2 0.773 0.346 0.560
Cl1 0.562 0.762 0.096
Cl2 0.490 0.425 0.007

Calculated values
Symmetry: P1 (1)
VASP energy (eV/cell): -41.6
Total moment (μB/cell): 10.00
Energy relative to the lowest polymorph listed for this composition (eV/f.u.): 0.00